Density functional theory data (PBE+U) for a relaxed Ca2MnI2O2 crystal.

Structure (POSCAR):
```
Ca2MnI2O2
1.0
-2.071 2.071 10.113
2.071 -2.071 10.113
2.071 2.071 -10.113
Ca Mn I O
2 1 2 2
Cartesian
0.000 0.000 1.508
0.000 0.000 18.719
0.000 0.000 10.113
0.000 0.000 6.945
0.000 0.000 13.282
2.071 0.000 0.000
0.000 2.071 0.000
```

Summary:
* energy: -38.03 eV/cell
* volume: 24.8 Å³/atom